[1]
PBEsol K2InAu, relaxed; calculated formation energy = -0.120 eV/atom; D(E_F) = 2.15 states/eV/f.u.; space group = P4mm; crystal system = tetragonal; size of the total moment = 0.0 μB/f.u.
1.0
3.7966 0.0000 0.0000
0.0000 3.7966 0.0000
0.0000 0.0000 9.7639
K In Au
2 1 1
direct
0.0000 0.0000 0.0000
0.5000 0.5000 0.4101
0.5000 0.5000 0.7508
0.0000 0.0000 0.6506


[2]
PBEsol MnH3F, relaxed; D(E_F) = 0.72 states/eV/f.u.; space group = Pm-3m; crystal system = cubic; calculated total energy = -4.209 eV/atom; size of the total moment = 3.1 μB/f.u.
1.0
3.3079 0.0000 0.0000
0.0000 3.3079 0.0000
0.0000 0.0000 3.3079
Mn H F
1 3 1
direct
0.0000 0.0000 0.0000
0.0000 0.0000 0.5000
0.0000 0.5000 0.0000
0.5000 0.0000 0.0000
0.5000 0.5000 0.5000


[3]
PBEsol Ti2FeHgOs, relaxed; calculated formation energy = 0.484 eV/atom; D(E_F) = 5.20 states/eV/f.u.; space group = P4/mmm; crystal system = tetragonal; size of the total moment = 0.0 μB/f.u.
1.0
4.3744 0.0000 0.0000
0.0000 4.3744 0.0000
0.0000 0.0000 4.4467
Ti Fe Hg Os
2 1 1 1
direct
0.0000 0.5000 0.0000
0.5000 0.0000 0.0000
0.0000 0.0000 0.0000
0.5000 0.5000 0.5000
0.0000 0.0000 0.5000


[4]
PBEsol Zn2MoPd, relaxed; calculated formation energy = 0.061 eV/atom; D(E_F) = 2.32 states/eV/f.u.; space group = Fm-3m; crystal system = cubic; size of the total moment = 1.9 μB/f.u.
1.0
0.0000 3.0471 3.0471
3.0471 0.0000 3.0471
3.0471 3.0471 0.0000
Zn Mo Pd
2 1 1
direct
0.2500 0.2500 0.2500
0.7500 0.7500 0.7500
0.0000 0.0000 0.0000
0.5000 0.5000 0.5000


[5]
PBEsol Fe2AsP, relaxed; calculated formation energy = 0.338 eV/atom; D(E_F) = 2.69 states/eV/f.u.; space group = F-43m; crystal system = cubic; size of the total moment = 4.3 μB/f.u.
1.0
0.0000 2.9422 2.9422
2.9422 0.0000 2.9422
2.9422 2.9422 0.0000
Fe As P
2 1 1
direct
0.0000 0.0000 0.0000
0.2500 0.2500 0.2500
0.7500 0.7500 0.7500
0.5000 0.5000 0.5000


[6]
PBEsol CoBi3Pb, relaxed; calculated formation energy = 1.616 eV/atom; D(E_F) = 6.33 states/eV/f.u.; space group = Pm-3m; crystal system = cubic; size of the total moment = 2.4 μB/f.u.
1.0
5.7815 0.0000 0.0000
0.0000 5.7815 0.0000
0.0000 0.0000 5.7815
Co Bi Pb
1 3 1
direct
0.0000 0.0000 0.0000
0.0000 0.5000 0.5000
0.5000 0.0000 0.5000
0.5000 0.5000 0.0000
0.5000 0.5000 0.5000


[7]
PBEsol TaZnIn2, relaxed; calculated formation energy = 0.610 eV/atom; D(E_F) = 4.40 states/eV/f.u.; space group = F-43m; crystal system = cubic; size of the total moment = 1.0 μB/f.u.
1.0
0.0000 3.3858 3.3858
3.3858 0.0000 3.3858
3.3858 3.3858 0.0000
Ta Zn In
1 1 2
direct
0.0000 0.0000 0.0000
0.2500 0.2500 0.2500
0.5000 0.5000 0.5000
0.7500 0.7500 0.7500


[8]
PBEsol Li4CdRe, relaxed; calculated formation energy = 0.500 eV/atom; D(E_F) = 4.82 states/eV/f.u.; space group = F-43m; crystal system = cubic; size of the total moment = 1.1 μB/f.u.
1.0
0.0000 3.4767 3.4767
3.4767 0.0000 3.4767
3.4767 3.4767 0.0000
Li Cd Re
4 1 1
direct
0.3767 0.3767 0.3767
0.3767 0.3767 0.8700
0.3767 0.8700 0.3767
0.8700 0.3767 0.3767
0.0000 0.0000 0.0000
0.7500 0.7500 0.7500


[9]
PBEsol YAl2Co2, relaxed; calculated formation energy = -0.429 eV/atom; E above lowest polymorph = 0.0000 eV per atom; D(E_F) = 4.43 states/eV/f.u.; space group = I4/mmm; crystal system = tetragonal; size of the total moment = 0.0 μB/f.u.
1.0
-1.9623 1.9623 5.0527
1.9623 -1.9623 5.0527
1.9623 1.9623 -5.0527
Y Al Co
1 2 2
direct
0.0000 0.0000 0.0000
0.2500 0.7500 0.5000
0.7500 0.2500 0.5000
0.3928 0.3928 0.0000
0.6072 0.6072 0.0000


[10]
PBEsol Al3Ag4, relaxed; calculated formation energy = -0.033 eV/atom; E above lowest polymorph = 0.0509 eV per atom; D(E_F) = 1.79 states/eV/f.u.; space group = R-3m; crystal system = trigonal; size of the total moment = 0.0 μB/f.u.
1.0
1.4526 0.8386 15.6464
-1.4526 0.8386 15.6464
0.0000 -1.6773 15.6464
Al Ag
3 4
direct
0.0000 0.0000 0.0000
0.2862 0.2862 0.2862
0.7138 0.7138 0.7138
0.1421 0.1421 0.1421
0.4259 0.4259 0.4259
0.5741 0.5741 0.5741
0.8579 0.8579 0.8579


[11]
PBEsol RbTeF5, relaxed; D(E_F) = 0.00 states/eV/f.u.; space group = Pnma; crystal system = orthorhombic; size of the total moment = 0.0 μB/f.u.; formation energy from raw total energies = -2.45 eV/atom
1.0
13.8247 0.0000 0.0000
0.0000 6.1830 0.0000
0.0000 0.0000 11.4084
Rb Te F
8 8 40
direct
0.0958 0.2500 0.0116
0.0979 0.7500 0.3387
0.4021 0.2500 0.8387
0.4042 0.7500 0.5116
0.5958 0.2500 0.4884
0.5979 0.7500 0.1613
0.9021 0.2500 0.6613
0.9042 0.7500 0.9884
0.0826 0.7500 0.7150
0.2401 0.2500 0.5397
0.2599 0.7500 0.0397
0.4174 0.2500 0.2150
0.5826 0.7500 0.7850
0.7401 0.2500 0.9603
0.7599 0.7500 0.4603
0.9174 0.2500 0.2850
0.0294 0.5195 0.8204
0.0294 0.9805 0.8204
0.0509 0.2500 0.3291
0.0834 0.5287 0.5875
0.0834 0.9713 0.5875
0.1210 0.7500 0.0194
0.2201 0.5280 0.1577
0.2201 0.9720 0.1577
0.2445 0.5200 0.9173
0.2445 0.9800 0.9173
0.2555 0.0200 0.4173
0.2555 0.4800 0.4173
0.2799 0.0280 0.6577
0.2799 0.4720 0.6577
0.3790 0.2500 0.5194
0.4166 0.0287 0.0875
0.4166 0.4713 0.0875
0.4491 0.7500 0.8291
0.4706 0.0195 0.3204
0.4706 0.4805 0.3204
0.5294 0.5195 0.6796
0.5294 0.9805 0.6796
0.5509 0.2500 0.1709
0.5834 0.5287 0.9125
0.5834 0.9713 0.9125
0.6210 0.7500 0.4806
0.7201 0.5280 0.3423
0.7201 0.9720 0.3423
0.7445 0.5200 0.5827
0.7445 0.9800 0.5827
0.7555 0.0200 0.0827
0.7555 0.4800 0.0827
0.7799 0.0280 0.8423
0.7799 0.4720 0.8423
0.8790 0.2500 0.9806
0.9166 0.0287 0.4125
0.9166 0.4713 0.4125
0.9491 0.7500 0.6709
0.9706 0.0195 0.1796
0.9706 0.4805 0.1796


[12]
PBEsol SiH2Ru2, relaxed; E above lowest polymorph = 0.2589 eV per atom; D(E_F) = 1.89 states/eV/f.u.; space group = P4/mbm; crystal system = tetragonal; size of the total moment = 0.0 μB/f.u.
1.0
5.5006 0.0000 0.0000
0.0000 5.5006 0.0000
0.0000 0.0000 2.9504
Si H Ru
2 4 4
direct
0.0000 0.0000 0.0000
0.5000 0.5000 0.0000
0.1717 0.3283 0.0000
0.3283 0.8283 0.0000
0.6717 0.1717 0.0000
0.8283 0.6717 0.0000
0.1913 0.6913 0.5000
0.3087 0.1913 0.5000
0.6913 0.8087 0.5000
0.8087 0.3087 0.5000


Question: What is the formula in the first record?
Answer: K2InAu